No. 1
VASP calculation (meta-GGA SCAN) on a PBEsol-optimized structure of NiIr2Ru.

Results
**Magnetic moment**: 0.34 μB per cell
**VASP energy**: -48.280 eV/atom
**SG**: Pmm2, No. 25
**Density of states at the Fermi level**: 4.2 states/eV/f.u.
**Energy above the lowest structure with this stoichiometry**: 45 meV per atom

Structure (CIF):
```
data_NiIr2Ru
_cell_length_a 2.669
_cell_length_b 3.720
_cell_length_c 5.258
_cell_angle_alpha 90.00
_cell_angle_beta 90.00
_cell_angle_gamma 90.00
_symmetry_space_group_name_H-M 'P 1'
_symmetry_Int_Tables_number 1
loop_
_symmetry_equiv_pos_as_xyz
'x,y,z'
loop_
_atom_site_label
_atom_site_type_symbol
_atom_site_fract_x
_atom_site_fract_y
_atom_site_fract_z
_atom_site_occupancy
Ni1 Ni 0.000 0.000 0.000 1
Ir1 Ir 0.000 0.000 0.492 1
Ir2 Ir 0.500 0.500 0.761 1
Ru1 Ru 0.500 0.500 0.243 1
```

No. 2
VASP calculation (meta-GGA SCAN) on a PBEsol-optimized structure of BaCoHg2.

Results
**Magnetic moment**: 1.54 μB per cell
**VASP energy**: -48.047 eV/atom
**SG**: P4/mmm, No. 123
**Density of states at the Fermi level**: 2.4 states/eV/f.u.

Structure (CIF):
```
data_BaCoHg2
_cell_length_a 4.496
_cell_length_b 4.496
_cell_length_c 4.912
_cell_angle_alpha 90.00
_cell_angle_beta 90.00
_cell_angle_gamma 90.00
_symmetry_space_group_name_H-M 'P 1'
_symmetry_Int_Tables_number 1
loop_
_symmetry_equiv_pos_as_xyz
'x,y,z'
loop_
_atom_site_label
_atom_site_type_symbol
_atom_site_fract_x
_atom_site_fract_y
_atom_site_fract_z
_atom_site_occupancy
Ba1 Ba 0.000 0.000 0.000 1
Co1 Co 0.500 0.500 0.000 1
Hg1 Hg 0.000 0.500 0.500 1
Hg2 Hg 0.500 0.000 0.500 1
```

No. 3
VASP calculation (meta-GGA SCAN) on a PBEsol-optimized structure of Be2HgRh.

Results
**Magnetic moment**: 0.00 μB per cell
**VASP energy**: -27.834 eV/atom
**SG**: P4mm, No. 99
**Density of states at the Fermi level**: 1.2 states/eV/f.u.

Structure (CIF):
```
data_Be2HgRh
_cell_length_a 2.923
_cell_length_b 2.923
_cell_length_c 5.849
_cell_angle_alpha 90.00
_cell_angle_beta 90.00
_cell_angle_gamma 90.00
_symmetry_space_group_name_H-M 'P 1'
_symmetry_Int_Tables_number 1
loop_
_symmetry_equiv_pos_as_xyz
'x,y,z'
loop_
_atom_site_label
_atom_site_type_symbol
_atom_site_fract_x
_atom_site_fract_y
_atom_site_fract_z
_atom_site_occupancy
Be1 Be 0.000 0.000 0.000 1
Be2 Be 0.500 0.500 0.207 1
Hg1 Hg 0.000 0.000 0.477 1
Rh1 Rh 0.500 0.500 0.830 1
```

No. 4
VASP calculation (meta-GGA SCAN) on a PBEsol-optimized structure of Ca2H6Os.

Results
**Magnetic moment**: 0.08 μB per cell
**VASP energy**: -13.157 eV/atom
**SG**: Fm-3m, No. 225
**Density of states at the Fermi level**: 0.0 states/eV/f.u.

Structure (CIF):
```
data_Ca2H6Os
_cell_length_a 5.031
_cell_length_b 5.031
_cell_length_c 5.031
_cell_angle_alpha 60.00
_cell_angle_beta 60.00
_cell_angle_gamma 60.00
_symmetry_space_group_name_H-M 'P 1'
_symmetry_Int_Tables_number 1
loop_
_symmetry_equiv_pos_as_xyz
'x,y,z'
loop_
_atom_site_label
_atom_site_type_symbol
_atom_site_fract_x
_atom_site_fract_y
_atom_site_fract_z
_atom_site_occupancy
Ca1 Ca 0.250 0.250 0.250 1
Ca2 Ca 0.750 0.750 0.750 1
H1 H 0.242 0.242 0.758 1
H2 H 0.242 0.758 0.242 1
H3 H 0.242 0.758 0.758 1
H4 H 0.758 0.242 0.242 1
H5 H 0.758 0.242 0.758 1
H6 H 0.758 0.758 0.242 1
Os1 Os 0.000 0.000 0.000 1
```

No. 5
VASP calculation (meta-GGA SCAN) on a PBEsol-optimized structure of CaScSi2.

Results
**Magnetic moment**: 0.38 μB per cell
**VASP energy**: -11.229 eV/atom
**SG**: P4/mmm, No. 123
**Energy relative to the elements, uncorrected**: -246 meV/atom
**Density of states at the Fermi level**: 2.2 states/eV/f.u.
**Energy above the lowest structure with this stoichiometry**: 202 meV per atom

Structure (CIF):
```
data_CaScSi2
_cell_length_a 5.104
_cell_length_b 5.104
_cell_length_c 2.954
_cell_angle_alpha 90.00
_cell_angle_beta 90.00
_cell_angle_gamma 90.00
_symmetry_space_group_name_H-M 'P 1'
_symmetry_Int_Tables_number 1
loop_
_symmetry_equiv_pos_as_xyz
'x,y,z'
loop_
_atom_site_label
_atom_site_type_symbol
_atom_site_fract_x
_atom_site_fract_y
_atom_site_fract_z
_atom_site_occupancy
Ca1 Ca 0.000 0.000 0.000 1
Sc1 Sc 0.500 0.500 0.000 1
Si1 Si 0.000 0.500 0.500 1
Si2 Si 0.500 0.000 0.500 1
```

No. 6
VASP calculation (meta-GGA SCAN) on a PBEsol-optimized structure of ZnHgOs2.

Results
**Magnetic moment**: 0.00 μB per cell
**VASP energy**: -55.923 eV/atom
**SG**: Pmm2, No. 25
**Density of states at the Fermi level**: 1.8 states/eV/f.u.
**Energy above the lowest structure with this stoichiometry**: 0 meV per atom

Structure (CIF):
```
data_ZnHgOs2
_cell_length_a 2.786
_cell_length_b 3.612
_cell_length_c 6.200
_cell_angle_alpha 90.00
_cell_angle_beta 90.00
_cell_angle_gamma 90.00
_symmetry_space_group_name_H-M 'P 1'
_symmetry_Int_Tables_number 1
loop_
_symmetry_equiv_pos_as_xyz
'x,y,z'
loop_
_atom_site_label
_atom_site_type_symbol
_atom_site_fract_x
_atom_site_fract_y
_atom_site_fract_z
_atom_site_occupancy
Zn1 Zn 0.000 0.000 0.000 1
Hg1 Hg 0.500 0.500 0.266 1
Os1 Os 0.000 0.000 0.567 1
Os2 Os 0.500 0.500 0.762 1
```

No. 7
VASP calculation (meta-GGA SCAN) on a PBEsol-optimized structure of BeSbTe2C.

Results
**Magnetic moment**: 1.33 μB per cell
**VASP energy**: -23.542 eV/atom
**SG**: P4/mmm, No. 123
**Energy relative to the elements, uncorrected**: 1701 meV/atom
**Density of states at the Fermi level**: 3.8 states/eV/f.u.

Structure (CIF):
```
data_BeSbTe2C
_cell_length_a 4.841
_cell_length_b 4.841
_cell_length_c 4.686
_cell_angle_alpha 90.00
_cell_angle_beta 90.00
_cell_angle_gamma 90.00
_symmetry_space_group_name_H-M 'P 1'
_symmetry_Int_Tables_number 1
loop_
_symmetry_equiv_pos_as_xyz
'x,y,z'
loop_
_atom_site_label
_atom_site_type_symbol
_atom_site_fract_x
_atom_site_fract_y
_atom_site_fract_z
_atom_site_occupancy
Be1 Be 0.000 0.000 0.000 1
Sb1 Sb 0.000 0.000 0.500 1
Te1 Te 0.000 0.500 0.000 1
Te2 Te 0.500 0.000 0.000 1
C1 C 0.500 0.500 0.500 1
```

No. 8
VASP calculation (meta-GGA SCAN) on a PBEsol-optimized structure of BePt2Se.

Results
**Magnetic moment**: 0.00 μB per cell
**VASP energy**: -41.296 eV/atom
**SG**: Immm, No. 71
**Energy relative to the elements, uncorrected**: -91 meV/atom
**Density of states at the Fermi level**: 1.8 states/eV/f.u.
**Energy above the lowest structure with this stoichiometry**: 0 meV per atom

Structure (CIF):
```
data_BePt2Se
_cell_length_a 5.521
_cell_length_b 5.521
_cell_length_c 5.521
_cell_angle_alpha 150.43
_cell_angle_beta 135.65
_cell_angle_gamma 54.21
_symmetry_space_group_name_H-M 'P 1'
_symmetry_Int_Tables_number 1
loop_
_symmetry_equiv_pos_as_xyz
'x,y,z'
loop_
_atom_site_label
_atom_site_type_symbol
_atom_site_fract_x
_atom_site_fract_y
_atom_site_fract_z
_atom_site_occupancy
Be1 Be 0.000 0.000 0.000 1
Pt1 Pt 0.184 0.684 0.500 1
Pt2 Pt 0.816 0.316 0.500 1
Se1 Se 0.500 0.500 0.000 1
```

No. 9
VASP calculation (meta-GGA SCAN) on a PBEsol-optimized structure of ZrTaAu.

Results
**Magnetic moment**: 0.00 μB per cell
**VASP energy**: -55.756 eV/atom
**SG**: Fmm2, No. 42
**Density of states at the Fermi level**: 1.8 states/eV/f.u.
**Energy above the lowest structure with this stoichiometry**: 0 meV per atom

Structure (CIF):
```
data_ZrTaAu
_cell_length_a 6.781
_cell_length_b 6.776
_cell_length_c 2.931
_cell_angle_alpha 77.61
_cell_angle_beta 77.42
_cell_angle_gamma 24.97
_symmetry_space_group_name_H-M 'P 1'
_symmetry_Int_Tables_number 1
loop_
_symmetry_equiv_pos_as_xyz
'x,y,z'
loop_
_atom_site_label
_atom_site_type_symbol
_atom_site_fract_x
_atom_site_fract_y
_atom_site_fract_z
_atom_site_occupancy
Zr1 Zr 0.000 0.000 0.000 1
Ta1 Ta 0.328 0.328 0.672 1
Au1 Au 0.671 0.671 0.329 1
```

No. 10
VASP calculation (meta-GGA SCAN) on a PBEsol-optimized structure of Ta2BeNi.

Results
**Magnetic moment**: 0.00 μB per cell
**VASP energy**: -38.468 eV/atom
**SG**: I4/mmm, No. 139
**Density of states at the Fermi level**: 3.3 states/eV/f.u.

Structure (CIF):
```
data_Ta2BeNi
_cell_length_a 4.532
_cell_length_b 4.532
_cell_length_c 4.532
_cell_angle_alpha 129.14
_cell_angle_beta 129.14
_cell_angle_gamma 74.78
_symmetry_space_group_name_H-M 'P 1'
_symmetry_Int_Tables_number 1
loop_
_symmetry_equiv_pos_as_xyz
'x,y,z'
loop_
_atom_site_label
_atom_site_type_symbol
_atom_site_fract_x
_atom_site_fract_y
_atom_site_fract_z
_atom_site_occupancy
Ta1 Ta 0.250 0.750 0.500 1
Ta2 Ta 0.750 0.250 0.500 1
Be1 Be 0.000 0.000 0.000 1
Ni1 Ni 0.500 0.500 0.000 1
```

No. 11
VASP calculation (meta-GGA SCAN) on a PBEsol-optimized structure of ZnSiBI2.

Results
**Magnetic moment**: 0.00 μB per cell
**VASP energy**: -19.806 eV/atom
**SG**: P4/mmm, No. 123
**Energy relative to the elements, uncorrected**: 1083 meV/atom
**Density of states at the Fermi level**: 2.3 states/eV/f.u.

Structure (CIF):
```
data_ZnSiBI2
_cell_length_a 5.603
_cell_length_b 5.603
_cell_length_c 3.925
_cell_angle_alpha 90.00
_cell_angle_beta 90.00
_cell_angle_gamma 90.00
_symmetry_space_group_name_H-M 'P 1'
_symmetry_Int_Tables_number 1
loop_
_symmetry_equiv_pos_as_xyz
'x,y,z'
loop_
_atom_site_label
_atom_site_type_symbol
_atom_site_fract_x
_atom_site_fract_y
_atom_site_fract_z
_atom_site_occupancy
Zn1 Zn 0.000 0.000 0.000 1
Si1 Si 0.500 0.500 0.500 1
B1 B 0.000 0.000 0.500 1
I1 I 0.000 0.500 0.000 1
I2 I 0.500 0.000 0.000 1
```

No. 12
VASP calculation (meta-GGA SCAN) on a PBEsol-optimized structure of CaSc2P.

Results
**Magnetic moment**: 1.64 μB per cell
**VASP energy**: -12.749 eV/atom
**SG**: P4mm, No. 99
**Density of states at the Fermi level**: 3.6 states/eV/f.u.

Structure (CIF):
```
data_CaSc2P
_cell_length_a 3.503
_cell_length_b 3.503
_cell_length_c 7.463
_cell_angle_alpha 90.00
_cell_angle_beta 90.00
_cell_angle_gamma 90.00
_symmetry_space_group_name_H-M 'P 1'
_symmetry_Int_Tables_number 1
loop_
_symmetry_equiv_pos_as_xyz
'x,y,z'
loop_
_atom_site_label
_atom_site_type_symbol
_atom_site_fract_x
_atom_site_fract_y
_atom_site_fract_z
_atom_site_occupancy
Ca1 Ca 0.000 0.000 0.000 1
Sc1 Sc 0.000 0.000 0.394 1
Sc2 Sc 0.500 0.500 0.643 1
P1 P 0.500 0.500 0.266 1
```

Question: What is the formula in the twelfth record?
Answer: CaSc2P